# 1
{"formula": "CuBPtPb", "functional": "GGA-PBE", "state": "optimized geometry", "cell": [[0.000, 3.149, 3.149], [3.149, 0.000, 3.149], [3.149, 3.149, 0.000]], "species": ["Cu", "B", "Pt", "Pb"], "fractional_positions": [[0.000, 0.000, 0.000], [0.500, 0.500, 0.500], [0.250, 0.250, 0.250], [0.750, 0.750, 0.750]], "vol_a3_per_cell": 62.5, "dft_energy_ev_per_atom": -4.24, "crystal_system": "cubic", "space_group": "No. 216"}

# 2
{"formula": "CuBPtPb", "functional": "GGA-PBE", "state": "optimized geometry", "cell": [[0.000, 3.173, 3.173], [3.173, 0.000, 3.173], [3.173, 3.173, 0.000]], "species": ["Cu", "B", "Pt", "Pb"], "fractional_positions": [[0.000, 0.000, 0.000], [0.250, 0.250, 0.250], [0.500, 0.500, 0.500], [0.750, 0.750, 0.750]], "vol_a3_per_cell": 63.9, "dft_energy_ev_per_atom": -4.15, "crystal_system": "cubic", "space_group": "No. 216"}

# 3
{"formula": "CuBPd2", "functional": "GGA-PBE", "state": "optimized geometry", "cell": [[0.000, 2.938, 2.938], [2.938, 0.000, 2.938], [2.938, 2.938, 0.000]], "species": ["Cu", "B", "Pd", "Pd"], "fractional_positions": [[0.000, 0.000, 0.000], [0.250, 0.250, 0.250], [0.500, 0.500, 0.500], [0.750, 0.750, 0.750]], "vol_a3_per_cell": 50.7, "dft_energy_ev_per_atom": -4.71, "crystal_system": "cubic", "space_group": "No. 216"}